An optimized crystal structure of VFe2Rh. Source: Alexandria, functional PBE.

```
4
Lattice="-1.874 3.219 0.302 -2.760 -1.764 1.679 1.589 0.619 3.262" Properties=species:S:1:pos:R:3 pbc="T T T"
Fe 0.794 0.310 1.631
Fe -1.380 -0.882 0.839
V -1.523 1.037 2.621
Rh -0.937 1.609 0.151
```

Results
E_form ... -175 meV/atom
Total magnetization ... 3.52 μB/f.u.
Crystal system ... tetragonal
Total DFT energy (no corrections) ... -0.6265 Ry per atom


An optimized crystal structure of V2Fe2Rh. Source: Alexandria, functional PBE.

```
10
Lattice="-1.256 -6.073 2.699 4.380 1.310 4.985 -2.022 1.081 1.492" Properties=species:S:1:pos:R:3 pbc="T T T"
Fe 1.925 -2.255 6.749
Fe -0.529 -4.188 4.825
Fe 1.631 0.506 4.351
Fe -0.823 -1.427 2.427
V 1.329 -0.473 2.143
V -0.150 -3.765 2.524
V 1.795 -4.290 5.541
V 3.274 -0.999 5.160
Rh 1.562 -2.382 3.842
Rh 0.000 0.000 0.000
```

Results
E_form ... 33 meV/atom
Total magnetization ... 0.00 μB/f.u.
Crystal system ... tetragonal
Total DFT energy (no corrections) ... -0.6225 Ry per atom


An optimized crystal structure of VFe3Rh. Source: Alexandria, functional PBE.

```
5
Lattice="4.185 0.000 0.000 0.000 4.185 0.000 0.000 0.000 4.185" Properties=species:S:1:pos:R:3 pbc="T T T"
Rh 2.092 2.092 2.092
V 0.000 0.000 0.000
Fe 0.000 2.092 0.000
Fe 0.000 0.000 2.092
Fe 2.092 0.000 0.000
```

Results
E_form ... 1051 meV/atom
Total magnetization ... 5.42 μB/f.u.
Crystal system ... cubic
Total DFT energy (no corrections) ... -0.5380 Ry per atom


An optimized crystal structure of VFe2Rh3. Source: Alexandria, functional PBE.

```
12
Lattice="3.862 0.000 0.018 1.931 5.792 0.009 -0.034 0.000 7.187" Properties=species:S:1:pos:R:3 pbc="T T T"
Rh 3.836 1.940 5.490
Rh 1.905 3.852 5.481
Rh 3.853 1.940 1.734
Rh 1.906 0.000 5.354
Rh 1.923 3.852 1.725
Rh 1.922 0.000 1.852
Fe -0.017 0.000 3.594
Fe 3.845 3.791 3.612
Fe 0.000 0.000 0.000
Fe 1.914 2.000 3.603
V 1.931 1.776 0.009
V 3.862 4.015 0.018
```

Results
E_form ... -194 meV/atom
Total magnetization ... 5.48 μB/f.u.
Crystal system ... orthorhombic
Total DFT energy (no corrections) ... -0.6035 Ry per atom


An optimized crystal structure of V7Fe3Rh. Source: Alexandria, functional PBE.

```
22
Lattice="2.705 0.000 0.192 -1.352 8.872 -0.096 0.574 0.000 11.863" Properties=species:S:1:pos:R:3 pbc="T T T"
Fe 1.496 5.870 3.061
Fe 0.431 3.002 8.897
Fe 0.215 2.963 0.975
Fe 0.072 2.963 4.956
Fe 1.854 5.909 7.002
Fe 1.712 5.909 10.983
V 1.089 1.232 10.241
V 2.067 3.635 10.997
V 0.838 7.640 1.718
V 0.431 5.486 8.897
V 0.427 5.238 4.970
V 1.670 1.031 0.749
V 2.478 1.232 7.745
V 1.499 3.635 6.989
V -0.551 7.640 4.213
V 1.496 3.386 3.061
V 1.322 1.031 5.374
V 0.605 7.842 6.585
V -0.140 5.238 0.962
V 0.257 7.842 11.209
Rh 1.783 7.919 8.993
Rh 0.144 0.953 2.966
```

Results
E_form ... -23 meV/atom
Total magnetization ... 0.00 μB/f.u.
Crystal system ... monoclinic
Total DFT energy (no corrections) ... -0.6469 Ry per atom


An optimized crystal structure of V2Fe3Rh2. Source: Alexandria, functional PBE.

```
7
Lattice="-3.435 1.288 2.031 0.650 -4.093 -0.637 5.011 0.162 4.037" Properties=species:S:1:pos:R:3 pbc="T T T"
Fe 1.283 -0.150 2.262
Fe 0.000 0.000 0.000
Fe 0.943 -2.493 3.169
V -0.243 -2.354 1.079
V 2.469 -0.289 4.351
Rh -1.308 -0.595 2.492
Rh 3.534 -2.049 2.938
```

Results
E_form ... -120 meV/atom
Total magnetization ... 6.38 μB/f.u.
Crystal system ... trigonal
Total DFT energy (no corrections) ... -0.6212 Ry per atom